Entry 1:
A plane-wave DFT calculation with PBE-GGA was carried out for an optimized crystal structure of CdCoGeP.

```
data_CdCoGeP
_symmetry_space_group_name_H-M 'C 1 m 1'
_symmetry_Int_Tables_number 8
_symmetry_space_group_name_Hall 'C -2y'
_cell_length_a 6.2778
_cell_length_b 3.7175
_cell_length_c 6.5785
_cell_angle_alpha 90.00
_cell_angle_beta 111.91
_cell_angle_gamma 90.00
loop_
_atom_site_label
_atom_site_type_symbol
_atom_site_fract_x
_atom_site_fract_y
_atom_site_fract_z
Cd1 Cd 0.0000 0.0000 0.0000
Co1 Co 0.3722 0.5000 0.5687
Ge1 Ge 0.4501 0.0000 0.3428
P1 P 0.2375 0.0000 0.6395
```

Final energy ... -4.571 eV/atom
E_form ... -0.059 eV per atom



Entry 2:
A plane-wave DFT calculation with PBE-GGA was carried out for an optimized crystal structure of CdCoGeP.

```
data_CdCoGeP
_symmetry_space_group_name_H-M 'A m m 2'
_symmetry_Int_Tables_number 38
_symmetry_space_group_name_Hall 'A 2 -2'
_cell_length_a 3.8862
_cell_length_b 3.8594
_cell_length_c 8.8124
_cell_angle_alpha 90.00
_cell_angle_beta 90.00
_cell_angle_gamma 90.00
loop_
_atom_site_label
_atom_site_type_symbol
_atom_site_fract_x
_atom_site_fract_y
_atom_site_fract_z
Cd1 Cd 0.0000 0.0000 0.0000
Co1 Co 0.5000 0.0000 0.4041
Ge1 Ge 0.5000 0.0000 0.7048
P1 P 0.0000 0.0000 0.2876
```

Final energy ... -4.458 eV/atom
E_form ... 0.054 eV per atom



no.,energy above the lowest structure with this stoichiometry (meV/atom),density of states at the Fermi level (states/eV/cell)
1,50,5.38
2,163,4.93